1.
Compound: KNpPa2S8
Source: Alexandria
Functional: GGA-PBE
Structure: optimized geometry

abc: 6.448 6.229 8.332
angles: 90.00 90.00 88.47
Last column: magnetic moment on the atom in μB.
Element x y z (fractional)
1 K 0.000 0.000 0.500  0.00
2 Np 0.000 0.000 0.000  2.69
3 Pa 0.500 0.500 0.750  -0.03
4 Pa 0.500 0.500 0.250  -0.03
5 S 0.167 0.751 0.212  -0.09
6 S 0.665 0.722 0.000  -0.04
7 S 0.833 0.249 0.212  -0.09
8 S 0.833 0.249 0.788  -0.09
9 S 0.335 0.278 0.000  -0.04
10 S 0.167 0.751 0.788  -0.09
11 S 0.619 0.720 0.500  -0.01
12 S 0.381 0.280 0.500  -0.01

## Properties
* density of states at the Fermi level: 6.93 states/eV/f.u.
* formation energy from raw total energies: -1481 kJ/mol of formula units


2.
Compound: KNpPaS4
Source: Alexandria
Functional: GGA-PBE
Structure: optimized geometry

abc: 8.358 8.419 8.389
angles: 119.88 90.00 119.76
Last column: magnetic moment on the atom in μB.
Element x y z (fractional)
1 K 0.877 0.754 0.127  0.00
2 K 0.123 0.246 0.873  0.00
3 Np 0.500 0.000 0.500  3.91
4 Np 0.500 0.000 0.000  3.91
5 Pa 0.500 0.500 0.500  0.92
6 Pa 0.000 0.500 0.500  0.92
7 S 0.732 0.465 0.693  -0.04
8 S 0.310 0.051 0.275  -0.07
9 S 0.741 0.051 0.275  -0.07
10 S 0.732 0.465 0.272  -0.04
11 S 0.268 0.535 0.728  -0.04
12 S 0.690 0.949 0.725  -0.07
13 S 0.259 0.949 0.725  -0.07
14 S 0.268 0.535 0.307  -0.04

## Properties
* density of states at the Fermi level: 10.71 states/eV/f.u.
* formation energy from raw total energies: -985 kJ/mol of formula units


3.
Compound: K2Np2PaS6
Source: Alexandria
Functional: GGA-PBE
Structure: optimized geometry

abc: 6.996 6.996 7.883
angles: 98.59 98.59 119.87
Last column: magnetic moment on the atom in μB.
Element x y z (fractional)
1 K 0.832 0.168 0.000  0.00
2 K 0.168 0.832 0.000  0.00
3 Np 0.335 0.665 0.500  3.88
4 Np 0.665 0.335 0.500  3.88
5 Pa 0.000 0.000 0.500  0.90
6 S 0.741 0.741 0.696  -0.06
7 S 0.063 0.393 0.695  -0.06
8 S 0.259 0.259 0.304  -0.06
9 S 0.393 0.063 0.695  -0.06
10 S 0.937 0.607 0.305  -0.06
11 S 0.607 0.937 0.305  -0.06

## Properties
* density of states at the Fermi level: 22.01 states/eV/f.u.
* formation energy from raw total energies: -1570 kJ/mol of formula units


4.
Compound: K3Np3PaSe8
Source: Alexandria
Functional: GGA-PBE
Structure: optimized geometry

abc: 8.440 8.440 9.195
angles: 117.32 90.00 120.00
Last column: magnetic moment on the atom in μB.
Element x y z (fractional)
1 K 0.000 0.000 0.000  0.00
2 K 0.000 0.500 0.000  0.00
3 K 0.500 0.500 0.000  0.00
4 Np 0.500 0.000 0.500  3.96
5 Np 0.500 0.500 0.500  3.96
6 Np 0.000 0.500 0.500  3.96
7 Pa 0.000 0.000 0.500  0.87
8 Se 0.265 0.531 0.296  -0.08
9 Se 0.735 0.469 0.704  -0.08
10 Se 0.770 0.539 0.299  -0.06
11 Se 0.230 0.461 0.701  -0.06
12 Se 0.770 0.029 0.298  -0.06
13 Se 0.230 0.971 0.702  -0.06
14 Se 0.259 0.029 0.298  -0.06
15 Se 0.741 0.971 0.702  -0.06

## Properties
* density of states at the Fermi level: 29.48 states/eV/f.u.
* formation energy from raw total energies: -1878 kJ/mol of formula units


5.
Compound: K3Np2PaSe6
Source: Alexandria
Functional: GGA-PBE
Structure: optimized geometry

abc: 7.320 7.320 8.119
angles: 98.64 98.64 120.00
Last column: magnetic moment on the atom in μB.
Element x y z (fractional)
1 K 0.168 0.832 0.500  0.00
2 K 0.832 0.168 0.500  0.00
3 K 0.500 0.500 0.500  0.00
4 Np 0.333 0.667 0.000  4.09
5 Np 0.667 0.333 0.000  4.09
6 Pa 0.000 0.000 0.000  1.22
7 Se 0.930 0.602 0.791  -0.06
8 Se 0.741 0.741 0.209  -0.06
9 Se 0.070 0.398 0.209  -0.06
10 Se 0.602 0.930 0.791  -0.06
11 Se 0.259 0.259 0.791  -0.06
12 Se 0.398 0.070 0.209  -0.06

## Properties
* density of states at the Fermi level: 23.59 states/eV/f.u.
* formation energy from raw total energies: -1498 kJ/mol of formula units


6.
Compound: K4NpPa3Se8
Source: Alexandria
Functional: GGA-PBE
Structure: optimized geometry

abc: 8.350 9.215 8.351
angles: 116.94 120.00 90.00
Last column: magnetic moment on the atom in μB.
Element x y z (fractional)
1 K 0.500 0.000 0.000  0.00
2 K 0.500 0.000 0.500  0.01
3 K 0.000 0.000 0.000  0.01
4 K 0.000 0.000 0.500  0.01
5 Np 0.000 0.500 0.000  4.15
6 Pa 0.500 0.500 0.000  1.45
7 Pa 0.500 0.500 0.500  1.45
8 Pa 0.000 0.500 0.500  1.45
9 Se 0.239 0.711 0.973  -0.04
10 Se 0.239 0.711 0.478  -0.04
11 Se 0.262 0.287 0.525  -0.03
12 Se 0.734 0.711 0.973  -0.04
13 Se 0.266 0.289 0.027  -0.04
14 Se 0.738 0.713 0.475  -0.03
15 Se 0.761 0.289 0.522  -0.04
16 Se 0.761 0.289 0.027  -0.04

## Properties
* density of states at the Fermi level: 20.74 states/eV/f.u.
* formation energy from raw total energies: -2023 kJ/mol of formula units


no.,E_tot (eV/atom)
1,-6.784
2,-7.179
3,-7.146
4,-6.597
5,-6.259
6,-5.916